Material: Nd4Al3
Method: DFT, PBE-GGA
State: relaxed

The structure in extended XYZ format:
```
14
Lattice="-1.187 6.436 0.170 0.078 -2.421 8.140 7.539 -0.727 -3.841" Properties=species:S:1:pos:R:3 pbc="T T T"
Nd 4.320 4.109 -1.331
Nd -0.594 3.218 0.085
Nd 3.355 -0.564 0.766
Nd 3.075 3.852 3.703
Nd 0.000 0.000 0.000
Nd 5.728 2.080 1.274
Nd 2.109 -0.821 5.800
Nd 0.702 1.208 3.195
Al 6.460 -1.211 1.543
Al -0.030 4.499 2.926
Al 4.017 0.786 3.693
Al 1.257 2.431 6.172
Al 2.413 2.502 0.776
Al 5.173 0.857 -1.703
```

## Properties
DFT formation energy	-258	meV/atom
raw total energy	-4.5863	eV per atom
D(E_F)	16.17	states/eV/cell